# 1
Y3Si3O11 | SCAN | single point on PBEsol structure

```
Y3Si3O11
1.0
7.351 -0.003 0.000
-1.283 10.222 0.000
0.000 0.000 11.189
Y Si O
12 12 44
Direct
0.584 0.178 0.277
0.916 0.322 0.777
0.416 0.822 0.723
0.084 0.678 0.223
0.265 0.519 0.971
0.235 0.981 0.471
0.735 0.481 0.029
0.765 0.019 0.529
0.200 0.000 0.101
0.300 0.500 0.601
0.800 0.000 0.899
0.700 0.500 0.399
0.268 0.387 0.260
0.232 0.113 0.760
0.732 0.613 0.740
0.768 0.887 0.240
0.006 0.290 0.467
0.494 0.210 0.967
0.994 0.710 0.533
0.506 0.790 0.033
0.477 0.758 0.408
0.023 0.742 0.908
0.523 0.242 0.592
0.977 0.258 0.092
0.240 0.515 0.181
0.260 0.985 0.681
0.760 0.485 0.819
0.740 0.015 0.319
0.480 0.370 0.283
0.020 0.130 0.783
0.520 0.630 0.717
0.980 0.870 0.217
0.041 0.137 0.481
0.459 0.363 0.981
0.959 0.863 0.519
0.541 0.637 0.019
0.174 0.382 0.395
0.326 0.118 0.895
0.826 0.618 0.605
0.674 0.882 0.105
0.153 0.263 0.186
0.347 0.237 0.686
0.847 0.737 0.814
0.653 0.763 0.314
0.474 0.131 0.094
0.026 0.369 0.594
0.526 0.869 0.906
0.974 0.631 0.406
0.485 0.137 0.482
0.015 0.363 0.982
0.515 0.863 0.518
0.985 0.637 0.018
0.308 0.799 0.097
0.192 0.701 0.597
0.692 0.201 0.903
0.808 0.299 0.403
0.288 0.802 0.350
0.212 0.698 0.850
0.712 0.198 0.650
0.788 0.302 0.150
0.456 0.605 0.445
0.044 0.895 0.945
0.544 0.395 0.555
0.956 0.105 0.055
0.318 0.029 0.287
0.182 0.471 0.787
0.682 0.971 0.713
0.818 0.529 0.213
```

Computed properties:
Space-group type: P2_1/c (14)
Crystal system: monoclinic
ΔE_f (raw), eV/atom: -3.380



# 2
Y2Si2O7 | SCAN | single point on PBEsol structure

```
Y2Si2O7
1.0
-5.131 -2.033 -3.604
4.004 -4.467 -2.790
-3.223 -7.174 9.051
O Si Y
28 8 8
Direct
0.648 0.511 0.875
0.352 0.489 0.125
0.619 0.863 0.786
0.381 0.137 0.214
0.300 0.708 0.907
0.700 0.292 0.093
0.401 0.564 0.695
0.599 0.436 0.305
0.587 0.829 0.553
0.413 0.171 0.447
0.226 0.904 0.624
0.774 0.096 0.376
0.287 0.571 0.489
0.713 0.429 0.511
0.287 0.782 0.313
0.713 0.218 0.687
0.961 0.773 0.425
0.039 0.227 0.575
0.072 0.415 0.311
0.928 0.585 0.689
0.231 0.084 0.007
0.769 0.916 0.993
0.353 0.210 0.815
0.647 0.790 0.185
0.001 0.335 0.918
0.999 0.665 0.082
0.001 0.986 0.814
0.999 0.014 0.186
0.157 0.148 0.885
0.843 0.852 0.115
0.489 0.666 0.826
0.511 0.334 0.174
0.378 0.724 0.595
0.622 0.276 0.405
0.143 0.625 0.380
0.857 0.375 0.620
0.952 0.673 0.885
0.048 0.327 0.115
0.883 0.909 0.641
0.117 0.091 0.359
0.371 0.215 0.634
0.629 0.785 0.366
0.677 0.173 0.890
0.323 0.827 0.110
```

Computed properties:
Space-group type: P-1 (2)
Crystal system: triclinic
ΔE_f (raw), eV/atom: -3.545



# 3
Zn2SiO4 | SCAN | single point on PBEsol structure

```
Zn2SiO4
1.0
6.105 0.000 0.000
0.000 9.729 0.000
0.000 0.000 10.912
Zn Si O
16 8 32
Direct
0.154 0.582 0.062
0.846 0.918 0.562
0.346 0.082 0.938
0.654 0.418 0.438
0.846 0.418 0.938
0.154 0.082 0.438
0.654 0.918 0.062
0.346 0.582 0.562
0.444 0.316 0.161
0.556 0.184 0.661
0.056 0.816 0.839
0.944 0.684 0.339
0.556 0.684 0.839
0.444 0.816 0.339
0.944 0.184 0.161
0.056 0.316 0.661
0.863 0.120 0.876
0.137 0.380 0.376
0.637 0.620 0.124
0.363 0.880 0.624
0.137 0.880 0.124
0.863 0.620 0.624
0.363 0.380 0.876
0.637 0.120 0.376
0.831 0.216 0.752
0.169 0.284 0.252
0.669 0.716 0.248
0.331 0.784 0.748
0.169 0.784 0.248
0.831 0.716 0.748
0.331 0.284 0.752
0.669 0.216 0.252
0.648 0.023 0.901
0.352 0.477 0.401
0.852 0.523 0.099
0.148 0.977 0.599
0.352 0.977 0.099
0.648 0.523 0.599
0.148 0.477 0.901
0.852 0.023 0.401
0.905 0.230 0.988
0.095 0.270 0.488
0.595 0.730 0.012
0.405 0.770 0.512
0.095 0.770 0.012
0.905 0.730 0.512
0.405 0.270 0.988
0.595 0.230 0.488
0.077 0.018 0.864
0.923 0.482 0.364
0.423 0.518 0.136
0.577 0.982 0.636
0.923 0.982 0.136
0.077 0.518 0.636
0.577 0.482 0.864
0.423 0.018 0.364
```

Computed properties:
Space-group type: Pbca (61)
Crystal system: orthorhombic
ΔE_f (raw), eV/atom: -2.212



# 4
Zn2SiO4 | SCAN | single point on PBEsol structure

```
Zn2SiO4
1.0
8.649 -0.003 -0.004
-2.657 8.230 -0.004
-2.657 -3.648 7.378
Zn Si O
12 6 24
Direct
0.441 0.204 0.610
0.610 0.441 0.204
0.204 0.610 0.441
0.559 0.796 0.390
0.390 0.559 0.796
0.796 0.390 0.559
0.126 0.723 0.899
0.723 0.899 0.126
0.899 0.126 0.723
0.874 0.277 0.101
0.277 0.101 0.874
0.101 0.874 0.277
0.461 0.054 0.234
0.054 0.234 0.461
0.234 0.461 0.054
0.539 0.946 0.766
0.946 0.766 0.539
0.766 0.539 0.946
0.354 0.034 0.360
0.360 0.354 0.034
0.034 0.360 0.354
0.646 0.966 0.640
0.640 0.646 0.966
0.966 0.640 0.646
0.688 0.398 0.732
0.732 0.688 0.398
0.398 0.732 0.688
0.312 0.602 0.268
0.268 0.312 0.602
0.602 0.268 0.312
0.975 0.691 0.026
0.026 0.975 0.691
0.691 0.026 0.975
0.025 0.309 0.974
0.974 0.025 0.309
0.309 0.974 0.025
0.574 0.933 0.248
0.933 0.248 0.574
0.248 0.574 0.933
0.426 0.067 0.752
0.067 0.752 0.426
0.752 0.426 0.067
```

Computed properties:
Space-group type: R-3 (148)
Crystal system: trigonal
ΔE_f (raw), eV/atom: -2.258



# 5
Zn2SiO4 | SCAN | single point on PBEsol structure

```
Zn2SiO4
1.0
-4.506 1.415 -0.809
-1.936 -3.689 4.337
1.124 7.530 6.907
Zn Si O
8 4 16
Direct
0.500 0.000 0.500
0.000 0.500 0.000
0.500 0.500 0.500
0.000 0.000 0.000
0.515 0.250 0.779
0.985 0.250 0.279
0.485 0.750 0.221
0.015 0.750 0.721
0.073 0.250 0.596
0.427 0.250 0.096
0.927 0.750 0.404
0.573 0.750 0.904
0.732 0.250 0.593
0.768 0.250 0.093
0.268 0.750 0.407
0.232 0.750 0.907
0.283 0.250 0.947
0.217 0.250 0.447
0.717 0.750 0.053
0.783 0.750 0.553
0.221 0.032 0.665
0.279 0.468 0.165
0.779 0.532 0.335
0.721 0.968 0.835
0.779 0.968 0.335
0.721 0.532 0.835
0.221 0.468 0.665
0.279 0.032 0.165
```

Computed properties:
Space-group type: Pnma (62)
Crystal system: orthorhombic
ΔE_f (raw), eV/atom: -2.191



# 6
ZrSi3O | SCAN | single point on PBEsol structure

```
ZrSi3O
1.0
-2.258 4.347 -1.046
-1.455 -1.822 -4.433
-4.228 -1.694 2.084
Si O Zr
3 1 1
Direct
0.000 0.500 0.000
0.000 0.000 0.500
0.500 0.000 0.000
0.500 0.500 0.500
0.000 0.000 0.000
```

Computed properties:
Space-group type: Pm-3m (221)
Crystal system: cubic
ΔE_f (raw), eV/atom: 1.408



# 7
ZrSiO4 | SCAN | single point on PBEsol structure

```
ZrSiO4
1.0
4.737 0.000 0.000
0.000 4.737 0.000
-2.369 -2.369 5.233
O Si Zr
8 2 2
Direct
0.170 0.088 0.657
0.488 0.569 0.657
0.819 0.920 0.157
0.338 0.238 0.157
0.080 0.662 0.843
0.762 0.181 0.843
0.431 0.830 0.343
0.912 0.512 0.343
0.250 0.750 0.500
0.000 0.000 0.000
0.750 0.250 0.500
0.500 0.500 0.000
```

Computed properties:
Space-group type: I4_1/a (88)
Crystal system: tetragonal
ΔE_f (raw), eV/atom: -3.396



# 8
SmO | SCAN | single point on PBEsol structure

```
SmO
1.0
3.459 0.000 0.000
1.729 2.995 0.000
1.729 0.998 2.824
O Sm
1 1
Direct
0.500 0.500 0.500
0.000 0.000 0.000
```

Computed properties:
Space-group type: Fm-3m (225)
Crystal system: cubic
ΔE_f (raw), eV/atom: -3.029



# 9
SmO3 | SCAN | single point on PBEsol structure

```
SmO3
1.0
3.457 0.000 0.000
0.000 6.630 0.000
0.000 -3.315 5.741
Sm O
2 6
Direct
0.750 0.333 0.667
0.250 0.667 0.333
0.750 0.942 0.569
0.250 0.058 0.431
0.750 0.627 0.058
0.250 0.373 0.942
0.750 0.431 0.373
0.250 0.569 0.627
```

Computed properties:
Space-group type: P6_3/m (176)
Crystal system: hexagonal
ΔE_f (raw), eV/atom: -1.692



# 10
SrSm2O4 | SCAN | single point on PBEsol structure

```
SrSm2O4
1.0
3.503 0.000 0.000
0.000 10.017 0.000
0.000 0.000 12.063
Sr Sm O
4 8 16
Direct
0.250 0.246 0.851
0.750 0.254 0.351
0.250 0.746 0.649
0.750 0.754 0.149
0.250 0.409 0.609
0.250 0.431 0.115
0.750 0.069 0.615
0.750 0.091 0.109
0.250 0.909 0.891
0.250 0.931 0.385
0.750 0.569 0.885
0.750 0.591 0.391
0.750 0.499 0.216
0.250 0.432 0.418
0.750 0.363 0.986
0.750 0.281 0.685
0.250 0.219 0.185
0.250 0.137 0.486
0.750 0.068 0.918
0.250 0.001 0.716
0.750 0.999 0.284
0.250 0.932 0.082
0.750 0.863 0.514
0.750 0.781 0.815
0.250 0.719 0.315
0.250 0.637 0.014
0.750 0.568 0.582
0.250 0.501 0.784
```

Computed properties:
Space-group type: Pnma (62)
Crystal system: orthorhombic
ΔE_f (raw), eV/atom: -3.541
ΔE to the lowest computed polymorph, meV/atom: 0



# 11
SrSm2O4 | SCAN | single point on PBEsol structure

```
SrSm2O4
1.0
-4.419 -4.193 3.511
2.450 -4.281 5.011
-1.458 1.298 6.755
Sr Sm O
2 4 8
Direct
0.250 0.250 0.250
0.000 0.000 0.000
0.625 0.125 0.625
0.625 0.625 0.625
0.625 0.625 0.125
0.125 0.625 0.625
0.829 0.390 0.390
0.390 0.390 0.829
0.390 0.390 0.390
0.860 0.421 0.860
0.390 0.829 0.390
0.860 0.860 0.860
0.860 0.860 0.421
0.421 0.860 0.860
```

Computed properties:
Space-group type: Fd-3m (227)
Crystal system: cubic
ΔE_f (raw), eV/atom: -3.511
ΔE to the lowest computed polymorph, meV/atom: 31



# 12
SrSm2O4 | SCAN | single point on PBEsol structure

```
SrSm2O4
1.0
-2.431 2.406 0.154
-1.121 -3.849 4.388
6.424 6.046 6.945
Sr Sm O
2 4 8
Direct
0.113 0.226 0.250
0.887 0.774 0.750
0.368 0.735 0.074
0.368 0.735 0.426
0.632 0.265 0.926
0.632 0.265 0.574
0.000 0.000 0.500
0.000 0.000 0.000
0.462 0.924 0.250
0.265 0.529 0.889
0.265 0.529 0.611
0.538 0.076 0.750
0.735 0.471 0.111
0.735 0.471 0.389
```

Computed properties:
Space-group type: Cmcm (63)
Crystal system: orthorhombic
ΔE_f (raw), eV/atom: -3.507
ΔE to the lowest computed polymorph, meV/atom: 35



# 13
Sm3TaO7 | SCAN | single point on PBEsol structure

```
Sm3TaO7
1.0
6.513 -0.035 0.000
-2.323 6.084 0.000
0.000 0.000 7.560
Sm Ta O
6 2 14
Direct
0.068 0.522 0.750
0.478 0.932 0.250
0.000 0.000 0.000
0.000 0.000 0.500
0.932 0.478 0.250
0.522 0.068 0.750
0.500 0.500 0.000
0.500 0.500 0.500
0.154 0.892 0.750
0.108 0.846 0.250
0.563 0.819 0.964
0.563 0.819 0.536
0.181 0.437 0.036
0.181 0.437 0.464
0.576 0.576 0.250
0.424 0.424 0.750
0.819 0.563 0.964
0.437 0.181 0.464
0.437 0.181 0.036
0.819 0.563 0.536
0.846 0.108 0.250
0.892 0.154 0.750
```

Computed properties:
Space-group type: Cmcm (63)
Crystal system: orthorhombic
ΔE_f (raw), eV/atom: -3.651
ΔE to the lowest computed polymorph, meV/atom: 11